Record 1
{"formula": "Si4As", "functional": "PBE-GGA", "state": "optimized geometry", "cell": [[-3.456, 3.456, 1.710], [3.456, -3.456, 1.710], [3.456, 3.456, -1.710]], "species": ["Si", "Si", "Si", "Si", "As"], "fractional_positions": [[0.204, 0.499, 0.703], [0.499, 0.796, 0.296], [0.501, 0.204, 0.704], [0.796, 0.501, 0.297], [0.000, 0.000, 0.000]], "de_polymorph_mev_per_atom": 40.6, "total_magnetization_mub_per_atom": 0.000, "sg": "No. 139", "dos_at_fermi_per_ev_atom": 0.40}

---

Record 2
{"formula": "SiAs7", "functional": "PBE-GGA", "state": "optimized geometry", "cell": [[0.000, 4.234, 4.234], [4.234, 0.000, 4.234], [4.234, 4.234, 0.000]], "species": ["As", "As", "As", "As", "As", "As", "As", "Si"], "fractional_positions": [[0.500, 0.500, 0.000], [0.000, 0.500, 0.500], [0.000, 0.000, 0.500], [0.500, 0.500, 0.500], [0.500, 0.000, 0.500], [0.000, 0.500, 0.000], [0.500, 0.000, 0.000], [0.000, 0.000, 0.000]], "total_magnetization_mub_per_atom": 0.000, "sg": "No. 225", "final_energy_ev_per_atom": -4.175, "dos_at_fermi_per_ev_atom": 0.76}

---

- Number 2 is which compound?
  SiAs7